No. 1
Computed, not measured: a relaxed Sc2NiOs3 crystal at the PBE-GGA level of DFT.

## Properties
**Mass density**: 12.36 Mg/m³
**Total DFT energy (no corrections)**: -9.107 eV/atom
**Density of states at the Fermi level**: 3.6 states/eV/cell
**Symmetry**: R-3m (166)

Cell lengths 5.153, 5.153, 5.149 Å; angles 90.00, 120.03, 119.99 degrees
Fractional positions:
Sc  0.754  0.377  0.131
Sc  0.246  0.623  0.869
Ni  0.000  0.000  0.000
Os  0.500  0.500  0.500
Os  0.000  0.000  0.500
Os  0.500  0.000  0.500


No. 2
Computed, not measured: a relaxed BaTl2HgRh crystal at the PBE-GGA level of DFT.

## Properties
**Mass density**: 8.38 Mg/m³
**Total DFT energy (no corrections)**: -3.082 eV/atom
**Density of states at the Fermi level**: 2.3 states/eV/cell
**Symmetry**: P4/mmm (123)

Cell lengths 5.321, 5.321, 5.946 Å; angles 90.00, 90.00, 90.00 degrees
Fractional positions:
Tl  0.000  0.500  0.000
Tl  0.500  0.000  0.000
Rh  0.000  0.000  0.000
Hg  0.500  0.500  0.500
Ba  0.000  0.000  0.500


No. 3
Computed, not measured: a relaxed Fe2HgSb crystal at the PBE-GGA level of DFT.

## Properties
**Mass density**: 10.22 Mg/m³
**Raw formation energy**: 8.76 kcal/mol of atoms
**Density of states at the Fermi level**: 2.7 states/eV/cell
**Symmetry**: Cm (8)

Cell lengths 5.375, 5.375, 4.680 Å; angles 72.73, 72.73, 33.26 degrees
Site moments in Bohr magnetons follow the coordinates.
Fractional positions:
Fe  0.969  0.969  0.993  2.60
Fe  0.285  0.285  0.253  2.56
Hg  0.517  0.517  0.451  -0.03
Sb  0.729  0.729  0.802  -0.01


Which of these has the lowest mass density? BaTl2HgRh